Record 1
Computed, not measured: a relaxed CoSb2W crystal at the PBE-GGA level of DFT.

Offset from the most stable computed form (kJ/mol of atoms): 1.53
N(E_F) (states/eV per atom): 0.856
V (Å³/cell): 148.52
ΔE_f (raw) (eV/atom): 0.2605

The structure in CIF format:
```
data_CoSb2W
_chemical_formula_sum 'Co2 Sb4 W2'
_cell_length_a 4.038
_cell_length_b 3.702
_cell_length_c 9.936
_cell_angle_alpha 90.00
_cell_angle_beta 90.00
_cell_angle_gamma 90.00
_symmetry_space_group_name_H-M 'A m m 2'
_symmetry_Int_Tables_number 38
loop_
_symmetry_equiv_pos_as_xyz
'x,y,z'
'-x,-y,z'
'-x,y,z'
'x,-y,z'
'x,y+1/2,z+1/2'
'-x,-y+1/2,z+1/2'
'-x,y+1/2,z+1/2'
'x,-y+1/2,z+1/2'
loop_
_atom_site_label
_atom_site_fract_x
_atom_site_fract_y
_atom_site_fract_z
_atom_site_occupancy
Co1 0.000 0.000 0.000 1
Sb1 0.000 0.000 0.269 1
Sb2 0.500 0.000 0.567 1
W1 0.500 0.000 0.856 1
```


Record 2
Computed, not measured: a relaxed CaMgBCl2 crystal at the PBE-GGA level of DFT.

N(E_F) (states/eV per atom): 0.296
V (Å³/cell): 128.06
ΔE_f (raw) (eV/atom): 0.1805

The structure in CIF format:
```
data_CaMgBCl2
_chemical_formula_sum 'Ca1 Mg1 B1 Cl2'
_cell_length_a 5.050
_cell_length_b 5.050
_cell_length_c 5.020
_cell_angle_alpha 90.00
_cell_angle_beta 90.00
_cell_angle_gamma 90.00
_symmetry_space_group_name_H-M 'P 4/m m m'
_symmetry_Int_Tables_number 123
_symmetry_space_group_name_Hall '-P 4 2'
loop_
_atom_site_label
_atom_site_fract_x
_atom_site_fract_y
_atom_site_fract_z
_atom_site_occupancy
Ca1 0.000 0.000 0.000 1
Mg1 0.500 0.500 0.000 1
B1 0.000 0.000 0.500 1
Cl1 0.000 0.500 0.500 1
```